[1]
Density functional theory data (GGA-PBE) for Fe3Os after structural relaxation.

Values from the calculation:
Crystal system: trigonal
Space group: No. 166
Spin magnetization: 6.83 μB per formula unit

a b c (Å): 8.249 8.249 8.249
angles (deg): 18.64 18.64 18.64
Fractional coordinates of all 4 atoms:
Fe (0.000, 0.000, 0.000)
Fe (0.253, 0.253, 0.253)
Fe (0.747, 0.747, 0.747)
Os (0.500, 0.500, 0.500)

[2]
Density functional theory data (GGA-PBE) for Fe4Os after structural relaxation.

Values from the calculation:
Crystal system: tetragonal
Space group: No. 87
ΔE to the lowest computed polymorph: 0 meV per atom
Spin magnetization: 6.50 μB per formula unit

a b c (Å): 4.414 4.414 4.414
angles (deg): 99.59 99.59 131.82
Fractional coordinates of all 5 atoms:
Fe (0.100, 0.301, 0.402)
Fe (0.301, 0.900, 0.201)
Fe (0.699, 0.100, 0.799)
Fe (0.900, 0.699, 0.598)
Os (0.500, 0.500, 0.000)

[3]
Density functional theory data (GGA-PBE) for Fe4POs after structural relaxation.

Values from the calculation:
Crystal system: cubic
Space group: No. 216
Spin magnetization: 8.90 μB per formula unit

a b c (Å): 4.694 4.694 4.694
angles (deg): 60.00 60.00 60.00
Fractional coordinates of all 6 atoms:
Fe (0.125, 0.125, 0.125)
Fe (0.125, 0.125, 0.625)
Fe (0.125, 0.625, 0.125)
Fe (0.625, 0.125, 0.125)
P (0.500, 0.500, 0.500)
Os (0.750, 0.750, 0.750)

[4]
Density functional theory data (GGA-PBE) for Fe2POs after structural relaxation.

Values from the calculation:
Crystal system: monoclinic
Space group: No. 10
Spin magnetization: 0.00 μB per formula unit

a b c (Å): 2.677 3.689 4.874
angles (deg): 90.00 104.19 90.00
Fractional coordinates of all 4 atoms:
Fe (0.134, 0.000, 0.265)
Fe (0.866, 0.000, 0.735)
P (0.500, 0.500, 0.500)
Os (0.500, 0.500, 0.000)

[5]
Density functional theory data (GGA-PBE) for Fe2POs after structural relaxation.

Values from the calculation:
Crystal system: orthorhombic
Space group: No. 47
Spin magnetization: 4.56 μB per formula unit

a b c (Å): 2.920 4.009 4.177
angles (deg): 90.00 90.00 90.00
Fractional coordinates of all 4 atoms:
Fe (0.000, 0.000, 0.000)
Fe (0.500, 0.500, 0.000)
P (0.000, 0.500, 0.500)
Os (0.500, 0.000, 0.500)

[6]
Density functional theory data (GGA-PBE) for Fe2POs after structural relaxation.

Values from the calculation:
Crystal system: trigonal
Space group: No. 160
Spin magnetization: 4.54 μB per formula unit

a b c (Å): 7.795 7.795 7.795
angles (deg): 20.43 20.43 20.43
Fractional coordinates of all 4 atoms:
Fe (0.000, 0.000, 0.000)
Fe (0.250, 0.250, 0.250)
P (0.742, 0.742, 0.742)
Os (0.490, 0.490, 0.490)

[7]
Density functional theory data (GGA-PBE) for FeP6Os after structural relaxation.

Values from the calculation:
Crystal system: monoclinic
Space group: No. 12
Spin magnetization: 0.81 μB per formula unit

a b c (Å): 6.856 6.856 7.940
angles (deg): 125.04 125.04 70.73
Fractional coordinates of all 16 atoms:
Fe (0.000, 0.500, 0.000)
Fe (0.500, 0.000, 0.000)
P (0.003, 0.289, 0.138)
P (0.138, 0.846, 0.350)
P (0.154, 0.862, 0.650)
P (0.289, 0.003, 0.138)
P (0.353, 0.353, 0.005)
P (0.361, 0.361, 0.721)
P (0.639, 0.639, 0.279)
P (0.647, 0.647, 0.995)
P (0.711, 0.997, 0.862)
P (0.846, 0.138, 0.350)
P (0.862, 0.154, 0.650)
P (0.997, 0.711, 0.862)
Os (0.000, 0.500, 0.500)
Os (0.500, 0.000, 0.500)

[8]
Density functional theory data (GGA-PBE) for FePOs4 after structural relaxation.

Values from the calculation:
Crystal system: cubic
Space group: No. 216
Spin magnetization: 3.52 μB per formula unit

a b c (Å): 5.138 5.138 5.138
angles (deg): 60.00 60.00 60.00
Fractional coordinates of all 6 atoms:
Fe (0.000, 0.000, 0.000)
P (0.250, 0.250, 0.250)
Os (0.125, 0.625, 0.625)
Os (0.625, 0.125, 0.625)
Os (0.625, 0.625, 0.125)
Os (0.625, 0.625, 0.625)

Across the entries above, total energy takes the values -0.661; -0.653; -0.589; -0.618; -0.612; -0.609; -0.502; -0.642 Ry per atom, respectively.
Across the entries above, ΔH_f (0 K) takes the values 0.162; 0.125; 0.396; -0.016; 0.060; 0.109; -0.306; 1.057 eV per atom, respectively.